1.
# SmZrNi

SmZrNi after structural relaxation (PBE, Alexandria via LeMat-Bulk).

Results
* symmetry: P4/nmm
* excess energy over the best structure of this formula in the dataset: 0 meV per atom
* magnetic moment: 0.0 μB/f.u.
* energy relative to the elements: -0.2804 eV/atom
* energy: -6.6299 eV per atom

Cell: 4.586 4.586 12.959 Å, 90.00 90.00 90.00°
Atoms (fractional coordinates):
Sm 0.250 0.250 0.057
Sm 0.250 0.250 0.557
Sm 0.750 0.750 0.943
Sm 0.750 0.750 0.443
Ni 0.750 0.750 0.153
Ni 0.250 0.250 0.847
Ni 0.750 0.750 0.653
Ni 0.250 0.250 0.347
Zr 0.750 0.250 0.750
Zr 0.250 0.750 0.750
Zr 0.750 0.250 0.250
Zr 0.250 0.750 0.250

2.
# CsTl2HgPt

CsTl2HgPt after structural relaxation (PBE, Alexandria via LeMat-Bulk).

Results
* symmetry: P4/mmm
* excess energy over the best structure of this formula in the dataset: 61 meV per atom
* magnetic moment: 0.0 μB/f.u.
* energy relative to the elements: -0.0838 eV/atom
* energy: -2.4696 eV per atom

Cell: 5.350 5.350 6.895 Å, 90.00 90.00 90.00°
Atoms (fractional coordinates):
Pt 0.000 0.000 0.000
Cs 0.000 0.000 0.500
Tl 0.000 0.500 0.000
Tl 0.500 0.000 0.000
Hg 0.500 0.500 0.500

3.
# HfScCuPt2

HfScCuPt2 after structural relaxation (PBE, Alexandria via LeMat-Bulk).

Results
* symmetry: P4/mmm
* magnetic moment: 0.0 μB/f.u.
* energy relative to the elements: 0.9714 eV/atom
* energy: -5.5212 eV per atom

Cell: 4.734 4.998 4.734 Å, 90.00 90.00 90.00°
Atoms (fractional coordinates):
Cu 0.500 0.500 0.500
Pt 0.000 0.000 0.500
Pt 0.500 0.000 0.000
Sc 0.000 0.000 0.000
Hf 0.000 0.500 0.000

4.
# LiTcSnMo

LiTcSnMo after structural relaxation (PBE, Alexandria via LeMat-Bulk).

Results
* symmetry: F-43m
* magnetic moment: 0.0 μB/f.u.
* energy relative to the elements: -0.0858 eV/atom
* energy: -6.8643 eV per atom

Cell: 4.451 4.451 4.451 Å, 60.00 60.00 60.00°
Atoms (fractional coordinates):
Sn 0.250 0.250 0.250
Mo 0.750 0.750 0.750
Tc 0.000 0.000 0.000
Li 0.500 0.500 0.500

5.
# TbHo3Pu3Se8

TbHo3Pu3Se8 after structural relaxation (PBE, Alexandria via LeMat-Bulk).

Results
* symmetry: R-3m
* energy relative to the elements, uncorrected: -1.722 eV/atom
* magnetic moment: 17.4 μB/f.u.
* energy: -7.6706 eV per atom

Cell: 8.174 8.174 8.203 Å, 119.88 90.00 120.00°
Site moments in Bohr magnetons follow the coordinates.
Atoms (fractional coordinates):
Pu 0.000 0.000 0.000  5.43
Pu 0.000 0.500 0.000  5.43
Pu 0.500 0.500 0.000  5.43
Se 0.252 0.504 0.256  -0.04
Se 0.252 0.994 0.746  -0.03
Se 0.257 0.006 0.254  -0.03
Se 0.252 0.503 0.746  -0.03
Se 0.743 0.994 0.746  -0.03
Se 0.748 0.497 0.254  -0.03
Se 0.748 0.006 0.254  -0.03
Se 0.748 0.496 0.744  -0.04
Ho 0.500 0.000 0.500  0.04
Ho 0.500 0.500 0.500  0.04
Ho 0.000 0.500 0.500  0.04
Tb 0.000 0.000 0.500  0.11

6.
# LiInCl3

LiInCl3 after structural relaxation (PBE, Alexandria via LeMat-Bulk).

Results
* symmetry: Cmc2_1
* energy relative to the elements, uncorrected: -1.212 eV/atom
* magnetic moment: 0.0 μB/f.u.
* energy: -3.2504 eV per atom

Cell: 4.064 6.704 10.317 Å, 90.00 101.36 90.00°
Atoms (fractional coordinates):
Li 0.887 0.940 0.774
Li 0.113 0.440 0.226
In 0.664 0.007 0.328
In 0.336 0.507 0.672
Cl 0.774 0.753 0.548
Cl 0.104 0.796 0.209
Cl 0.426 0.798 0.852
Cl 0.574 0.298 0.148
Cl 0.226 0.253 0.452
Cl 0.896 0.296 0.791